Computed, not measured: a geometry-optimized Y2Pu3NpN6 structure at the GGA-PBE level of DFT.

Computed properties:
For the total magnetization, the calculation gives 35.42 μB/cell. As for the uncorrected formation energy: -16.54 eV/f.u.

The structure in CIF format:
```
data_Y2Pu3NpN6
_chemical_formula_sum 'Y4 Pu6 Np2 N12'
_space_group_name_H-M_alt 'C 1 2/m 1'
_space_group_IT_number 12
_cell_length_a 6.0249
_cell_length_b 10.4237
_cell_length_c 6.0192
_cell_angle_alpha 90.00
_cell_angle_beta 109.53
_cell_angle_gamma 90.00
loop_
_space_group_symop_operation_xyz
'x,y,z'
'-x,-y,-z'
'-x,y,-z'
'x,-y,z'
'x+1/2,y+1/2,z'
'-x+1/2,-y+1/2,-z'
'-x+1/2,y+1/2,-z'
'x+1/2,-y+1/2,z'
loop_
_atom_site_label
_atom_site_type_symbol
_atom_site_fract_x
_atom_site_fract_y
_atom_site_fract_z
Y1 Y 0.0000 0.1664 0.0000
Pu1 Pu 0.0000 0.0000 0.5000
Pu2 Pu 0.0000 0.3317 0.5000
Np1 Np 0.0000 0.5000 0.0000
N1 N 0.2385 0.5000 0.7502
N2 N 0.2428 0.3395 0.2473
```

=====

Computed, not measured: a geometry-optimized Pm2PdI8 structure at the GGA-PBE level of DFT.

Computed properties:
For the total magnetization, the calculation gives 0.00 μB/cell. As for the uncorrected formation energy: -10.43 eV/f.u.

The structure in CIF format:
```
data_Pm2PdI8
_chemical_formula_sum 'Pm4 Pd2 I16'
_space_group_name_H-M_alt 'C 1 2/m 1'
_space_group_IT_number 12
_cell_length_a 16.4193
_cell_length_b 7.5318
_cell_length_c 10.9189
_cell_angle_alpha 90.00
_cell_angle_beta 108.13
_cell_angle_gamma 90.00
loop_
_space_group_symop_operation_xyz
'x,y,z'
'-x,-y,-z'
'-x,y,-z'
'x,-y,z'
'x+1/2,y+1/2,z'
'-x+1/2,-y+1/2,-z'
'-x+1/2,y+1/2,-z'
'x+1/2,-y+1/2,z'
loop_
_atom_site_label
_atom_site_type_symbol
_atom_site_fract_x
_atom_site_fract_y
_atom_site_fract_z
Pm1 Pm 0.2300 0.0000 0.3199
Pd1 Pd 0.0000 0.0000 0.0000
I1 I 0.1031 0.5000 0.7150
I2 I 0.1066 0.2473 0.1273
I3 I 0.2162 0.0000 0.5900
```

=====

Computed, not measured: a geometry-optimized Mg2CuRh structure at the GGA-PBE level of DFT.

Computed properties:
For the total magnetization, the calculation gives 0.00 μB/cell. The formation energy comes out at -0.3424 eV/atom.

The structure in CIF format:
```
data_Mg2CuRh
_chemical_formula_sum 'Mg2 Cu1 Rh1'
_space_group_name_H-M_alt 'P 4/m m m'
_space_group_IT_number 123
_space_group_name_Hall '-P 4 2'
_cell_length_a 4.3869
_cell_length_b 4.3869
_cell_length_c 3.1851
_cell_angle_alpha 90.00
_cell_angle_beta 90.00
_cell_angle_gamma 90.00
loop_
_atom_site_label
_atom_site_type_symbol
_atom_site_fract_x
_atom_site_fract_y
_atom_site_fract_z
Mg1 Mg 0.0000 0.5000 0.0000
Cu1 Cu 0.0000 0.0000 0.5000
Rh1 Rh 0.5000 0.5000 0.5000
```

=====

Computed, not measured: a geometry-optimized PaCr2C3 structure at the GGA-PBE level of DFT.

Computed properties:
For the total magnetization, the calculation gives 0.00 μB/cell. The formation energy comes out at -0.1989 eV/atom.

The structure in CIF format:
```
data_PaCr2C3
_chemical_formula_sum 'Pa2 Cr4 C6'
_space_group_name_H-M_alt 'I m m m'
_space_group_IT_number 71
_space_group_name_Hall '-I 2 2'
_cell_length_a 3.1763
_cell_length_b 3.9640
_cell_length_c 10.4252
_cell_angle_alpha 90.00
_cell_angle_beta 90.00
_cell_angle_gamma 90.00
loop_
_atom_site_label
_atom_site_type_symbol
_atom_site_fract_x
_atom_site_fract_y
_atom_site_fract_z
Pa1 Pa 0.0000 0.0000 0.0000
Cr1 Cr 0.0000 0.0000 0.3039
C1 C 0.0000 0.0000 0.5000
C2 C 0.0000 0.5000 0.3107
```

=====

Look up the total magnetization of the second one.
0.00 μB/cell

=====

Among the records above, which one has the highest total magnetization?
Y2Pu3NpN6